Below is a relaxed LiCa2Al crystal, with properties calculated at the GGA-PBE level.

Calculated values
The total DFT energy (no corrections) comes out at -9.4 eV per formula unit. For the spin magnetization, the calculation gives 0.0 Bohr magnetons per cell. The density of states at the Fermi level comes out at 9.3 states/eV per cell.

Lattice parameters (Å, degrees): 3.7271 3.7271 30.6070 90.00 90.00 120.00
Closest atoms and distances in Å follow each position.
Space group R3m (No. 160, hexagonal axes)
Asymmetric unit:
Li 0.0000 0.0000 0.0000  6 Ca 3.49-3.52, 6 Li 3.73
Ca 0.0000 0.0000 0.5754  3 Al 3.17, 3 Li 3.52
Ca 0.0000 0.0000 0.7564  3 Al 3.17, 3 Li 3.49
Al 0.0000 0.0000 0.1659  6 Ca 3.17

Below is a relaxed LiCa2Al crystal, with properties calculated at the GGA-PBE level.

Calculated values
The total DFT energy (no corrections) comes out at -9.8 eV per formula unit. For the spin magnetization, the calculation gives 0.0 Bohr magnetons per cell. The density of states at the Fermi level comes out at 4.2 states/eV per cell.

Lattice parameters (Å, degrees): 7.3996 7.4076 7.4759 90.00 90.00 90.00
Closest atoms and distances in Å follow each position.
Space group F222 (No. 22)
Asymmetric unit:
Li 0.0000 0.0000 0.0000  4 Ca 3.22, 4 Al 3.22
Ca 0.0000 0.0000 0.5000  4 Al 3.22, 4 Ca 3.22
Ca 0.2500 0.2500 0.2500  4 Li 3.22, 4 Ca 3.22
Al 0.2500 0.2500 0.7500  4 Li 3.22, 4 Ca 3.22

Below is a relaxed Li2Ca2Al crystal, with properties calculated at the GGA-PBE level.

Calculated values
For the spin magnetization, the calculation gives 0.0 Bohr magnetons per cell. Its energy above the most stable polymorph in this dataset is 0.0 meV per atom. The density of states at the Fermi level comes out at 8.8 states/eV per cell.

Lattice parameters (Å, degrees): 10.3514 6.3075 8.3335 90.00 106.59 90.00
Closest atoms and distances in Å follow each position.
Space group C2/c (No. 15)
Asymmetric unit:
Li 0.1111 0.1133 0.4837  1 Li 2.79, 2 Al 2.80-2.83
Ca 0.1563 0.3801 0.1459  6 Li 3.15-3.45, 3 Al 3.32-3.45
Al 0.0000 0.2043 0.7500  4 Li 2.80-2.83

Below is a relaxed Li2Ca2Al crystal, with properties calculated at the GGA-PBE level.

Calculated values
For the spin magnetization, the calculation gives 0.0 Bohr magnetons per cell. Its energy above the most stable polymorph in this dataset is 111.2 meV per atom. The density of states at the Fermi level comes out at 9.5 states/eV per cell.

Lattice parameters (Å, degrees): 3.7425 3.7425 19.5008 90.00 90.00 90.00
Closest atoms and distances in Å follow each position.
Space group I4/mmm (No. 139)
Asymmetric unit:
Li 0.0000 0.5000 0.2500  4 Li 2.65
Ca 0.0000 0.0000 0.0967  4 Al 3.25, 4 Li 3.53
Al 0.0000 0.0000 0.5000  8 Ca 3.25

Below is a relaxed LiCaAl crystal, with properties calculated at the GGA-PBE level.

Calculated values
For the spin magnetization, the calculation gives 0.0 Bohr magnetons per cell. Its energy above the most stable polymorph in this dataset is 80.4 meV per atom. The density of states at the Fermi level comes out at 2.1 states/eV per cell.

Lattice parameters (Å, degrees): 4.9408 4.9408 3.4334 90.00 90.00 120.00
Closest atoms and distances in Å follow each position.
Space group P-6m2 (No. 187)
Asymmetric unit:
Li 0.0000 0.0000 0.0000  3 Al 2.85
Ca 0.3333 0.6667 0.5000  6 Li 3.33, 6 Al 3.33, 2 Ca 3.43
Al 0.6667 0.3333 0.0000  3 Li 2.85

Below is a relaxed Li2CaAl9 crystal, with properties calculated at the GGA-PBE level.

Calculated values
The total DFT energy (no corrections) comes out at -40.4 eV per formula unit. For the spin magnetization, the calculation gives 0.0 Bohr magnetons per cell. The density of states at the Fermi level comes out at 16.9 states/eV per cell.

Lattice parameters (Å, degrees): 5.5382 5.5382 26.2320 90.00 90.00 120.00
Closest atoms and distances in Å follow each position.
Space group R-3m (No. 166, hexagonal axes)
Asymmetric unit:
Li 0.0000 0.0000 0.1443  12 Al 3.13-3.25, 3 Li 3.41
Ca 0.0000 0.0000 0.0000  18 Al 3.20-3.56
Al 0.0000 0.0000 0.3350  6 Al 2.74-2.77
Al 0.0000 0.0000 0.5000  6 Al 2.68
Al 0.0080 0.5040 0.9145  7 Al 2.68-2.84

Below is a relaxed LiCa2Al crystal, with properties calculated at the GGA-PBE level.

Calculated values
The total DFT energy (no corrections) comes out at -9.4 eV per formula unit. For the spin magnetization, the calculation gives 0.0 Bohr magnetons per cell. The density of states at the Fermi level comes out at 5.5 states/eV per cell.

Lattice parameters (Å, degrees): 10.2632 3.5212 6.6980 90.00 98.14 90.00
Closest atoms and distances in Å follow each position.
Space group C2/m (No. 12)
Asymmetric unit:
Li 0.0000 0.0000 0.0000  6 Ca 3.25-3.47, 2 Li 3.52
Ca 0.2401 0.0000 0.7322  3 Al 3.24-3.27, 3 Li 3.25-3.47, 4 Ca 3.52-3.61
Al 0.0000 0.5000 0.5000  6 Ca 3.24-3.27, 2 Al 3.52

Below is a relaxed Li7CaAl5 crystal, with properties calculated at the GGA-PBE level.

Calculated values
The total DFT energy (no corrections) comes out at -36.1 eV per formula unit. For the spin magnetization, the calculation gives 0.0 Bohr magnetons per cell. The density of states at the Fermi level comes out at 9.7 states/eV per cell.

Lattice parameters (Å, degrees): 5.4871 9.2859 9.4401 90.00 90.00 90.00
Closest atoms and distances in Å follow each position.
Space group Imm2 (No. 44)
Asymmetric unit:
Li 0.0000 0.0000 0.0000  6 Al 2.84-3.04, 3 Li 2.93-3.01
Li 0.0000 0.0000 0.3099  4 Al 2.84, 5 Li 2.93-3.05
Li 0.0000 0.2859 0.1509  5 Al 2.74-2.81, 5 Li 2.86-3.05
Li 0.0000 0.3493 0.6465  4 Li 2.80-3.05, 5 Al 2.86-3.04
Li 0.0000 0.5000 0.9335  4 Al 2.72, 4 Li 2.86-2.98
Ca 0.0000 0.0000 0.6543  10 Li 3.24-3.45, 10 Al 3.37-3.63
Al 0.0000 0.5000 0.3610  4 Al 2.71, 4 Li 2.81-3.04
Al 0.2476 0.2483 0.8992  3 Al 2.71-2.77, 7 Li 2.72-2.90

Below is a relaxed Li3Ca2Al2 crystal, with properties calculated at the GGA-PBE level.

Calculated values
The total DFT energy (no corrections) comes out at -18.0 eV per formula unit. For the spin magnetization, the calculation gives 0.0 Bohr magnetons per cell. The density of states at the Fermi level comes out at 5.8 states/eV per cell.

Lattice parameters (Å, degrees): 10.3758 4.8563 7.0310 90.00 107.33 90.00
Closest atoms and distances in Å follow each position.
Space group C2/m (No. 12)
Asymmetric unit:
Li 0.0000 0.0000 0.0000  2 Al 2.74
Li 0.1680 0.5000 0.2705  3 Al 2.81-2.82
Ca 0.1381 0.5000 0.7441  4 Li 3.15-3.44, 5 Al 3.27-3.35
Al 0.0926 0.0000 0.4074  1 Al 2.62, 4 Li 2.74-2.82

Below is a relaxed Li3Ca4Al crystal, with properties calculated at the GGA-PBE level.

Calculated values
For the spin magnetization, the calculation gives 0.0 Bohr magnetons per cell. Its energy above the most stable polymorph in this dataset is 37.4 meV per atom. The density of states at the Fermi level comes out at 6.4 states/eV per cell.

Lattice parameters (Å, degrees): 3.9533 5.0394 12.2035 90.00 90.00 90.00
Closest atoms and distances in Å follow each position.
Space group Pmm2 (No. 25)
Asymmetric unit:
Li 0.0000 0.0000 0.0000  2 Li 3.01
Li 0.0000 0.5000 0.1357  2 Li 3.01
Li 0.5000 0.0000 0.5101  2 Al 2.95, 2 Ca 3.15
Ca 0.0000 0.0000 0.7106  2 Li 3.15, 4 Al 3.33
Ca 0.0000 0.5000 0.4291  2 Al 3.21, 5 Li 3.35-3.58
Ca 0.5000 0.0000 0.2266  7 Li 3.39-3.46
Ca 0.5000 0.5000 0.9014  1 Al 3.24, 6 Li 3.42-3.48
Al 0.5000 0.5000 0.6360  2 Li 2.95, 3 Ca 3.21-3.24

Below is a relaxed Li3CaAl3 crystal, with properties calculated at the GGA-PBE level.

Calculated values
For the spin magnetization, the calculation gives 0.0 Bohr magnetons per cell. Its energy above the most stable polymorph in this dataset is 148.9 meV per atom. The density of states at the Fermi level comes out at 32.2 states/eV per cell.

Lattice parameters (Å, degrees): 12.3088 12.3088 12.3088 90.00 90.00 90.00
Closest atoms and distances in Å follow each position.
Space group Fm-3m (No. 225)
Asymmetric unit:
Li 0.0000 0.0000 0.1489  1 Al 2.44, 4 Li 2.59
Ca 0.2500 0.2500 0.2500  12 Al 4.51, 12 Li 4.53
Al 0.0000 0.0000 0.3474  1 Li 2.44, 4 Al 2.66

Below is a relaxed Li6CaAl12 crystal, with properties calculated at the GGA-PBE level.

Calculated values
The total DFT energy (no corrections) comes out at -56.8 eV per formula unit. For the spin magnetization, the calculation gives 0.0 Bohr magnetons per cell. The density of states at the Fermi level comes out at 19.3 states/eV per cell.

Lattice parameters (Å, degrees): 11.5803 11.5803 9.0242 90.00 90.00 120.00
Closest atoms and distances in Å follow each position.
Space group R-3m (No. 166, hexagonal axes)
Asymmetric unit:
Li 0.0465 0.5232 0.2428  7 Al 2.54-2.71
Ca 0.0000 0.0000 0.0000  6 Al 3.27
Al 0.0000 0.3862 0.5000  4 Li 2.54-2.71, 3 Al 2.64-2.82
Al 0.0841 0.1682 0.3102  4 Li 2.68-2.90, 4 Al 2.82-2.92